# Ba2AlCu2F11

A relaxed structure of Ba2AlCu2F11 (PBE, OQMD via LeMat-Bulk).

Results
* calculated total energy: -5.12 eV per atom
* space-group type: P3_2 (145)

Unit cell a=7.205 b=7.205 c=13.850 alpha=90.00 beta=90.00 gamma=120.00
Fractional coordinates of all 48 atoms:
F1 0.623 0.441 0.609
F2 0.200 0.546 0.572
F3 0.009 0.768 0.028
F4 0.375 0.159 0.011
F5 0.759 0.991 0.362
F6 0.559 0.182 0.275
F7 0.077 0.371 0.315
F8 0.629 0.706 0.982
F9 0.993 0.575 0.772
F10 0.422 0.081 0.482
F11 0.818 0.377 0.942
F12 0.841 0.216 0.678
F13 0.294 0.923 0.649
F14 0.717 0.956 0.840
F15 0.587 0.869 0.551
F16 0.347 0.800 0.906
F17 0.659 0.578 0.815
F18 0.425 0.419 0.439
F19 0.131 0.718 0.218
F20 0.784 0.625 0.344
F21 0.919 0.341 0.149
F22 0.454 0.653 0.239
F23 0.240 0.283 0.173
F24 0.328 0.735 0.411
F25 0.265 0.593 0.077
F26 0.085 0.948 0.847
F27 0.044 0.760 0.507
F28 0.052 0.137 0.513
F29 0.282 0.413 0.885
F30 0.407 0.672 0.744
F31 0.581 0.007 0.105
F32 0.863 0.915 0.180
F33 0.232 0.241 0.695
Al1 0.501 0.681 0.869
Al2 0.319 0.821 0.536
Al3 0.179 0.499 0.202
Ba1 0.658 0.491 0.133
Ba2 0.833 0.342 0.466
Ba3 0.151 0.017 0.333
Ba4 0.983 0.135 0.000
Ba5 0.865 0.849 0.666
Ba6 0.509 0.167 0.800
Cu1 0.118 0.427 0.721
Cu2 0.573 0.691 0.388
Cu3 0.334 0.304 0.563
Cu4 0.696 0.031 0.230
Cu5 0.309 0.882 0.055
Cu6 0.969 0.666 0.897